No. 1
Computed, not measured: a geometry-optimized CdIr2Br structure at the PBE level of DFT.

Unit cell a=2.8795 b=3.6057 c=7.6480 alpha=90.00 beta=90.31 gamma=90.00
Last column: nearest neighbours and their distance in Å.
Space group Pm (No. 6)
Symmetry-distinct sites (fractional):
Cd 0.0000 0.0000 0.0000 [1 per cell]  2 Cd 2.88, 5 Ir 2.90-3.02
Ir 0.0054 0.0000 0.3954 [1 per cell]  6 Ir 2.64-2.88, 2 Br 2.64
Ir 0.5029 0.5000 0.2289 [1 per cell]  6 Ir 2.64-2.88, 4 Cd 2.90
Br 0.0087 0.5000 0.6469 [1 per cell]  2 Ir 2.64, 2 Br 2.88

Excess energy over the best structure of this formula in the dataset (eV/atom): 0.0000
Crystal system: monoclinic
Total DFT energy (no corrections) (eV/cell): -19.05
Total magnetization (μB per formula unit): 0.000
Density (g/cm³): 12.1
Energy relative to the elements, uncorrected (eV/atom): 0.31


No. 2
Computed, not measured: a geometry-optimized CdIr2Br structure at the PBE level of DFT.

Unit cell a=3.0405 b=4.6346 c=5.1867 alpha=90.00 beta=97.21 gamma=90.00
Last column: nearest neighbours and their distance in Å.
Space group P2/m (No. 10)
Symmetry-distinct sites (fractional):
Cd 0.0000 0.0000 0.0000 [1 per cell]  4 Ir 2.78, 2 Br 2.84, 2 Cd 3.04
Ir 0.3644 0.5000 0.2333 [2 per cell]  2 Ir 2.65-2.79, 2 Br 2.70, 2 Cd 2.78
Br 0.5000 0.0000 0.5000 [1 per cell]  4 Ir 2.70, 2 Cd 2.84

Excess energy over the best structure of this formula in the dataset (eV/atom): 0.4122
Crystal system: monoclinic
Total DFT energy (no corrections) (eV/cell): -17.40
Total magnetization (μB per formula unit): 0.000
Density (g/cm³): 13.2
Energy relative to the elements, uncorrected (eV/atom): 0.73


No. 3
Computed, not measured: a geometry-optimized CdIr2Br structure at the PBE level of DFT.

Unit cell a=4.1762 b=4.1762 c=8.0947 alpha=90.00 beta=90.00 gamma=90.00
Last column: nearest neighbours and their distance in Å.
Space group I-4m2 (No. 119)
Symmetry-distinct sites (fractional):
Cd 0.0000 0.0000 0.0000 [2 per cell]  4 Br 2.91, 8 Ir 2.91-2.95
Ir 0.0000 0.0000 0.5000 [2 per cell]  4 Br 2.91, 4 Ir 2.91, 4 Cd 2.95
Ir 0.0000 0.5000 0.7500 [2 per cell]  4 Cd 2.91, 4 Ir 2.91, 4 Br 2.95
Br 0.0000 0.5000 0.2500 [2 per cell]  4 Cd 2.91, 8 Ir 2.91-2.95

Excess energy over the best structure of this formula in the dataset (eV/atom): 0.6615
Crystal system: tetragonal
Total DFT energy (no corrections) (eV/cell): -32.81
Total magnetization (μB per formula unit): 0.002
Density (g/cm³): 13.6
Energy relative to the elements, uncorrected (eV/atom): 0.98


No. 4
Computed, not measured: a geometry-optimized CdIrBr4 structure at the PBE level of DFT.

Unit cell a=8.6575 b=8.6575 c=8.6575 alpha=90.00 beta=90.00 gamma=90.00
Last column: nearest neighbours and their distance in Å.
Space group F-43m (No. 216)
Symmetry-distinct sites (fractional):
Cd 0.0000 0.0000 0.0000 [4 per cell]  12 Br 3.59, 4 Ir 3.75
Ir 0.2500 0.2500 0.7500 [4 per cell]  12 Br 3.59, 4 Cd 3.75
Br 0.1240 0.1240 0.3760 [16 per cell]  6 Br 3.04-3.08

Crystal system: cubic
Total DFT energy (no corrections) (eV/cell): -34.88
Total magnetization (μB per formula unit): 1.215
Density (g/cm³): 6.4
Energy relative to the elements, uncorrected (eV/atom): 1.29


No. 5
Computed, not measured: a geometry-optimized CdIrBr structure at the PBE level of DFT.

Unit cell a=6.4316 b=6.4316 c=6.4316 alpha=90.00 beta=90.00 gamma=90.00
Last column: nearest neighbours and their distance in Å.
Space group F-43m (No. 216)
Symmetry-distinct sites (fractional):
Cd 0.0000 0.0000 0.0000 [4 per cell]  4 Ir 2.78
Ir 0.2500 0.2500 0.2500 [4 per cell]  4 Cd 2.78, 4 Br 2.78
Br 0.0000 0.0000 0.5000 [4 per cell]  4 Ir 2.78

Excess energy over the best structure of this formula in the dataset (eV/atom): 0.1428
Crystal system: cubic
Total DFT energy (no corrections) (eV/cell): -37.54
Total magnetization (μB per formula unit): 0.000
Density (g/cm³): 9.6
Energy relative to the elements, uncorrected (eV/atom): 0.69


No. 6
Computed, not measured: a geometry-optimized CdIrBr structure at the PBE level of DFT.

Unit cell a=3.0565 b=5.5886 c=14.0837 alpha=90.00 beta=90.00 gamma=90.00
Last column: nearest neighbours and their distance in Å.
Space group Fmm2 (No. 42)
Symmetry-distinct sites (fractional):
Cd 0.0000 0.0000 0.0000 [4 per cell]  2 Ir 2.73, 2 Br 3.05, 2 Cd 3.06
Ir 0.0000 0.0000 0.6609 [4 per cell]  2 Br 2.63, 2 Cd 2.73
Br 0.0000 0.0000 0.3127 [4 per cell]  2 Ir 2.63

Excess energy over the best structure of this formula in the dataset (eV/atom): 0.0409
Crystal system: orthorhombic
Total DFT energy (no corrections) (eV/cell): -38.76
Total magnetization (μB per formula unit): 0.000
Density (g/cm³): 10.6
Energy relative to the elements, uncorrected (eV/atom): 0.59


No. 7
Computed, not measured: a geometry-optimized CdIr2Br structure at the PBE level of DFT.

Unit cell a=6.5323 b=6.5323 c=6.5323 alpha=90.00 beta=90.00 gamma=90.00
Last column: nearest neighbours and their distance in Å.
Space group Fm-3m (No. 225)
Symmetry-distinct sites (fractional):
Cd 0.0000 0.0000 0.0000 [4 per cell]  8 Ir 2.83
Ir 0.2500 0.2500 0.2500 [8 per cell]  4 Cd 2.83, 4 Br 2.83
Br 0.0000 0.0000 0.5000 [4 per cell]  8 Ir 2.83

Excess energy over the best structure of this formula in the dataset (eV/atom): 0.7362
Crystal system: cubic
Total DFT energy (no corrections) (eV/cell): -64.43
Total magnetization (μB per formula unit): 0.001
Density (g/cm³): 13.7
Energy relative to the elements, uncorrected (eV/atom): 1.05


No. 8
Computed, not measured: a geometry-optimized CdIrBr structure at the PBE level of DFT.

Unit cell a=3.1547 b=3.1547 c=12.2828 alpha=90.00 beta=90.00 gamma=90.00
Last column: nearest neighbours and their distance in Å.
Space group I4mm (No. 107)
Symmetry-distinct sites (fractional):
Cd 0.0000 0.0000 0.0000 [2 per cell]  4 Ir 2.80
Ir 0.0000 0.0000 0.3618 [2 per cell]  4 Cd 2.80, 4 Br 2.90
Br 0.0000 0.0000 0.7113 [2 per cell]  4 Ir 2.90, 4 Br 3.15

Excess energy over the best structure of this formula in the dataset (eV/atom): 0.0206
Crystal system: tetragonal
Total DFT energy (no corrections) (eV/cell): -19.50
Total magnetization (μB per formula unit): 0.000
Density (g/cm³): 10.4
Energy relative to the elements, uncorrected (eV/atom): 0.57


No. 9
Computed, not measured: a geometry-optimized CdIr2Br structure at the PBE level of DFT.

Unit cell a=4.1387 b=4.1387 c=8.2056 alpha=90.00 beta=90.00 gamma=90.00
Last column: nearest neighbours and their distance in Å.
Space group I4/mmm (No. 139)
Symmetry-distinct sites (fractional):
Cd 0.0000 0.0000 0.0000 [2 per cell]  8 Ir 2.91, 4 Br 2.93
Ir 0.0000 0.5000 0.2500 [4 per cell]  4 Cd 2.91, 4 Br 2.91, 4 Ir 2.93
Br 0.0000 0.0000 0.5000 [2 per cell]  8 Ir 2.91, 4 Cd 2.93

Excess energy over the best structure of this formula in the dataset (eV/atom): 0.6788
Crystal system: tetragonal
Total DFT energy (no corrections) (eV/cell): -32.67
Total magnetization (μB per formula unit): 0.004
Density (g/cm³): 13.6
Energy relative to the elements, uncorrected (eV/atom): 0.99


No. 10
Computed, not measured: a geometry-optimized CdIr2Br structure at the PBE level of DFT.

Unit cell a=2.9463 b=4.8703 c=10.1405 alpha=90.00 beta=90.00 gamma=90.00
Last column: nearest neighbours and their distance in Å.
Space group Imm2 (No. 44)
Symmetry-distinct sites (fractional):
Cd 0.0000 0.0000 0.0000 [2 per cell]  6 Ir 2.85-3.10, 2 Cd 2.95
Ir 0.0000 0.0000 0.4850 [2 per cell]  4 Ir 2.64-2.95, 2 Br 2.68, 4 Cd 2.85
Ir 0.0000 0.5000 0.7693 [2 per cell]  4 Ir 2.64-2.95, 4 Br 2.92
Br 0.0000 0.5000 0.2053 [2 per cell]  6 Ir 2.68-2.92, 2 Br 2.95

Excess energy over the best structure of this formula in the dataset (eV/atom): 0.4304
Crystal system: orthorhombic
Total DFT energy (no corrections) (eV/cell): -34.66
Total magnetization (μB per formula unit): 0.000
Density (g/cm³): 13.2
Energy relative to the elements, uncorrected (eV/atom): 0.75


No. 11
Computed, not measured: a geometry-optimized CdIr2Br structure at the PBE level of DFT.

Unit cell a=2.8837 b=5.1929 c=9.2947 alpha=90.00 beta=90.00 gamma=90.00
Last column: nearest neighbours and their distance in Å.
Space group Cmmm (No. 65)
Symmetry-distinct sites (fractional):
Cd 0.0000 0.0000 0.0000 [2 per cell]  4 Ir 2.78, 6 Cd 2.88-2.97
Ir 0.0000 0.5000 0.2557 [4 per cell]  2 Br 2.69, 2 Cd 2.78, 6 Ir 2.88-2.97
Br 0.0000 0.0000 0.5000 [2 per cell]  4 Ir 2.69, 6 Br 2.88-2.97

Excess energy over the best structure of this formula in the dataset (eV/atom): 0.4162
Crystal system: orthorhombic
Total DFT energy (no corrections) (eV/cell): -34.77
Total magnetization (μB per formula unit): 0.000
Density (g/cm³): 13.8
Energy relative to the elements, uncorrected (eV/atom): 0.73


No. 12
Computed, not measured: a geometry-optimized CdIr2Br structure at the PBE level of DFT.

Unit cell a=2.8297 b=5.0951 c=10.6599 alpha=90.00 beta=90.00 gamma=90.00
Last column: nearest neighbours and their distance in Å.
Space group Cmm2 (No. 35)
Symmetry-distinct sites (fractional):
Cd 0.0000 0.0000 0.0000 [2 per cell]  6 Cd 2.83-2.91, 2 Ir 2.88
Ir 0.0000 0.0000 0.5584 [2 per cell]  8 Ir 2.61-2.91, 2 Br 2.71
Ir 0.0000 0.5000 0.7646 [2 per cell]  8 Ir 2.61-2.91, 2 Cd 2.88
Br 0.0000 0.5000 0.3412 [2 per cell]  2 Ir 2.71, 6 Br 2.83-2.91

Excess energy over the best structure of this formula in the dataset (eV/atom): 0.2644
Crystal system: orthorhombic
Total DFT energy (no corrections) (eV/cell): -35.99
Total magnetization (μB per formula unit): 0.000
Density (g/cm³): 12.5
Energy relative to the elements, uncorrected (eV/atom): 0.58